Entry 1:
{"formula": "OsPt2", "functional": "PBE-GGA", "state": "optimized geometry", "lattice_angstrom": [[4.7186, -0.0081, 0.0000], [2.3188, 4.1095, 0.0000], [-3.5187, -2.0507, 2.3829]], "species": ["Pt", "Pt", "Os"], "fractional_positions": [[0.6643, 0.6643, 0.0000], [0.3357, 0.3357, 0.0000], [0.0000, 0.0000, 0.0000]], "total_magnetization_mub_per_fu": 0.00, "polymorph_energy_mev_per_atom": 189.5}



Entry 2:
{"formula": "Os2Pt", "functional": "PBE-GGA", "state": "optimized geometry", "lattice_angstrom": [[2.7134, 0.0000, 0.0000], [0.0000, 4.1121, 0.0000], [0.0000, 0.0000, 17.4398]], "species": ["Os", "Os", "Os", "Os", "Os", "Os", "Os", "Os", "Pt", "Pt", "Pt", "Pt"], "fractional_positions": [[0.5000, 0.2500, 0.4608], [0.0000, 0.2500, 0.1893], [0.5000, 0.7500, 0.5392], [0.0000, 0.7500, 0.8107], [0.5000, 0.2500, 0.3107], [0.5000, 0.7500, 0.6893], [0.0000, 0.2500, 0.0392], [0.0000, 0.7500, 0.9608], [0.5000, 0.7500, 0.1251], [0.0000, 0.2500, 0.6251], [0.0000, 0.7500, 0.3749], [0.5000, 0.2500, 0.8749]], "total_magnetization_mub_per_fu": 0.00, "polymorph_energy_mev_per_atom": 486.3}



Entry 3:
{"formula": "Os2Pt", "functional": "PBE-GGA", "state": "optimized geometry", "lattice_angstrom": [[0.1309, -4.9470, 0.8489], [-1.2451, 3.0263, 3.8081], [-3.5922, 0.6588, -3.4456]], "species": ["Pt", "Pt", "Os", "Os", "Os", "Os"], "fractional_positions": [[0.2500, 0.2500, 0.0000], [0.7500, 0.7500, 0.0000], [0.6332, 0.8668, 0.5000], [0.3668, 0.1332, 0.5000], [0.1332, 0.6332, 0.7664], [0.8668, 0.3668, 0.2336]], "total_magnetization_mub_per_fu": 0.00, "polymorph_energy_mev_per_atom": 655.7}



Entry 4:
{"formula": "OsPt", "functional": "PBE-GGA", "state": "optimized geometry", "lattice_angstrom": [[-5.0321, 6.7360, -6.1736], [5.1822, -4.4277, -9.0551], [-5.9664, -5.2389, -0.8529]], "species": ["Os", "Os", "Os", "Os", "Os", "Os", "Os", "Os", "Os", "Os", "Os", "Os", "Os", "Os", "Os", "Os", "Pt", "Pt", "Pt", "Pt", "Pt", "Pt", "Pt", "Pt", "Pt", "Pt", "Pt", "Pt", "Pt", "Pt", "Pt", "Pt"], "fractional_positions": [[0.0000, 0.6510, 0.5000], [0.2500, 0.5990, 0.2500], [0.7500, 0.0990, 0.2500], [0.5000, 0.6510, 0.0000], [0.0000, 0.3490, 0.5000], [0.2500, 0.4010, 0.7500], [0.2500, 0.9010, 0.2500], [0.5000, 0.1510, 0.5000], [0.7500, 0.5990, 0.7500], [0.5000, 0.8490, 0.5000], [0.7500, 0.4010, 0.2500], [0.0000, 0.1510, 0.0000], [0.7500, 0.9010, 0.7500], [0.0000, 0.8490, 0.0000], [0.5000, 0.3490, 0.0000], [0.2500, 0.0990, 0.7500], [0.4174, 0.7500, 0.2500], [0.6674, 0.5000, 0.0000], [0.9174, 0.7500, 0.7500], [0.1674, 0.5000, 0.5000], [0.3326, 0.5000, 0.0000], [0.4174, 0.2500, 0.7500], [0.3326, 0.0000, 0.5000], [0.5826, 0.7500, 0.7500], [0.5826, 0.2500, 0.2500], [0.1674, 0.0000, 0.0000], [0.9174, 0.2500, 0.2500], [0.0826, 0.2500, 0.7500], [0.0826, 0.7500, 0.2500], [0.6674, 0.0000, 0.5000], [0.8326, 0.5000, 0.5000], [0.8326, 0.0000, 0.0000]], "energy_ev_per_atom": -7.08, "total_magnetization_mub_per_fu": 0.00}